# LiSi2Hg

Crystalline LiSi2Hg at its relaxed geometry (GGA-PBE, Alexandria).

Values from the calculation:
- energy relative to the elements, uncorrected (eV/atom) = 0.34
- final energy (eV/cell) = -23.4
- density of states at the Fermi level (states/eV per cell) = 4.08

abc: 6.0366 6.0366 6.0366
angles: 100.18 100.18 130.27
Fractional coordinates of all 8 atoms:
Li 0.0000 0.0000 0.0000
Li 0.7500 0.2500 0.5000
Si 0.1503 0.1250 0.5253
Si 0.3750 0.8497 0.9747
Si 0.5997 0.6250 0.4747
Si 0.8750 0.4003 0.0253
Hg 0.2500 0.7500 0.5000
Hg 0.5000 0.5000 0.0000

# AcPRh3

Crystalline AcPRh3 at its relaxed geometry (GGA-PBE, Alexandria).

Values from the calculation:
- energy of formation from the pure elements (eV/atom) = -0.69
- excess energy over the best structure of this formula in the dataset (kcal/mol of atoms) = 0.09
- final energy (eV/cell) = -35.0
- density of states at the Fermi level (states/eV per cell) = 4.25

abc: 4.5717 4.5717 4.5717
angles: 90.00 90.00 90.00
Fractional coordinates of all 5 atoms:
Ac 0.0000 0.0000 0.0000
P 0.5000 0.5000 0.5000
Rh 0.0000 0.5000 0.5000
Rh 0.5000 0.0000 0.5000
Rh 0.5000 0.5000 0.0000

# Pm3MgAg4

Crystalline Pm3MgAg4 at its relaxed geometry (GGA-PBE, Alexandria).

Values from the calculation:
- energy of formation from the pure elements (eV/atom) = -0.26
- excess energy over the best structure of this formula in the dataset (kcal/mol of atoms) = 0.00
- final energy (eV/cell) = -29.3
- density of states at the Fermi level (states/eV per cell) = 6.20

abc: 8.9334 8.9334 8.9334
angles: 33.65 33.65 33.65
Fractional coordinates of all 8 atoms:
Pm 0.0000 0.0000 0.0000
Pm 0.2456 0.2456 0.2456
Pm 0.7544 0.7544 0.7544
Mg 0.5000 0.5000 0.5000
Ag 0.1242 0.1242 0.1242
Ag 0.3778 0.3778 0.3778
Ag 0.6222 0.6222 0.6222
Ag 0.8758 0.8758 0.8758

# SrAuI2N

Crystalline SrAuI2N at its relaxed geometry (GGA-PBE, Alexandria).

Values from the calculation:
- excess energy over the best structure of this formula in the dataset (kcal/mol of atoms) = 10.09
- energy relative to the elements, uncorrected (eV/atom) = 0.48
- final energy (eV/cell) = -14.0
- density of states at the Fermi level (states/eV per cell) = 1.93

abc: 6.3876 6.3876 4.9685
angles: 90.00 90.00 90.00
Fractional coordinates of all 5 atoms:
Sr 0.0000 0.0000 0.0000
Au 0.5000 0.5000 0.5000
I 0.0000 0.5000 0.0000
I 0.5000 0.0000 0.0000
N 0.0000 0.0000 0.5000

# MgRe2Mo

Crystalline MgRe2Mo at its relaxed geometry (GGA-PBE, Alexandria).

Values from the calculation:
- energy of formation from the pure elements (eV/atom) = 0.27
- final energy (eV/cell) = -36.3
- density of states at the Fermi level (states/eV per cell) = 2.88

abc: 2.8176 2.8176 8.1647
angles: 90.00 90.00 90.00
Fractional coordinates of all 4 atoms:
Mg 0.0000 0.0000 0.0000
Re 0.0000 0.0000 0.5204
Re 0.5000 0.5000 0.7381
Mo 0.5000 0.5000 0.2786

# SrFeCl

Crystalline SrFeCl at its relaxed geometry (GGA-PBE, Alexandria).

Values from the calculation:
- energy relative to the elements, uncorrected (eV/atom) = 0.31
- final energy (eV/cell) = -11.1
- density of states at the Fermi level (states/eV per cell) = 2.78

abc: 5.0677 5.0677 5.0677
angles: 60.00 60.00 60.00
Fractional coordinates of all 3 atoms:
Sr 0.0000 0.0000 0.0000
Fe 0.2500 0.2500 0.2500
Cl 0.5000 0.5000 0.5000

# TiMn2IrC

Crystalline TiMn2IrC at its relaxed geometry (GGA-PBE, Alexandria).

Values from the calculation:
- energy of formation from the pure elements (eV/atom) = -0.28
- final energy (eV/cell) = -45.7
- density of states at the Fermi level (states/eV per cell) = 3.47

abc: 3.7885 3.7885 4.1335
angles: 90.00 90.00 90.00
Fractional coordinates of all 5 atoms:
Ti 0.0000 0.0000 0.0000
Mn 0.0000 0.5000 0.5000
Mn 0.5000 0.0000 0.5000
Ir 0.5000 0.5000 0.0000
C 0.0000 0.0000 0.5000

# KYAg

Crystalline KYAg at its relaxed geometry (GGA-PBE, Alexandria).

Values from the calculation:
- energy of formation from the pure elements (eV/atom) = 0.10
- final energy (eV/cell) = -10.1
- density of states at the Fermi level (states/eV per cell) = 3.34

abc: 7.8849 7.8849 7.8849
angles: 152.57 152.57 39.19
Fractional coordinates of all 3 atoms:
K 0.0000 0.0000 0.0000
Y 0.2655 0.2655 0.0000
Ag 0.6678 0.6678 0.0000

# BaCoAu3

Crystalline BaCoAu3 at its relaxed geometry (GGA-PBE, Alexandria).

Values from the calculation:
- energy of formation from the pure elements (eV/atom) = 1.28
- excess energy over the best structure of this formula in the dataset (kcal/mol of atoms) = 33.20
- final energy (eV/cell) = -12.4
- density of states at the Fermi level (states/eV per cell) = 10.90

abc: 6.0560 6.0560 6.0560
angles: 90.00 90.00 90.00
Fractional coordinates of all 5 atoms:
Ba 0.0000 0.0000 0.0000
Co 0.5000 0.5000 0.5000
Au 0.0000 0.0000 0.5000
Au 0.0000 0.5000 0.0000
Au 0.5000 0.0000 0.0000

# CuSi2Sb

Crystalline CuSi2Sb at its relaxed geometry (GGA-PBE, Alexandria).

Values from the calculation:
- energy relative to the elements, uncorrected (eV/atom) = 0.27
- final energy (eV/cell) = -18.0
- density of states at the Fermi level (states/eV per cell) = 1.37

abc: 4.1064 4.1064 5.6624
angles: 104.92 104.92 52.11
Fractional coordinates of all 4 atoms:
Cu 0.0000 0.0000 0.0000
Si 0.2628 0.2628 0.8347
Si 0.7372 0.7372 0.1653
Sb 0.5000 0.5000 0.5000

# VCl

Crystalline VCl at its relaxed geometry (GGA-PBE, Alexandria).

Values from the calculation:
- energy relative to the elements, uncorrected (eV/atom) = -0.29
- final energy (eV/cell) = -46.2
- density of states at the Fermi level (states/eV per cell) = 2.62

abc: 7.6622 7.6622 7.6622
angles: 92.19 92.19 157.44
Fractional coordinates of all 8 atoms:
V 0.1830 0.3028 0.4857
V 0.3028 0.8170 0.1198
V 0.6972 0.1830 0.8802
V 0.8170 0.6972 0.5143
Cl 0.2577 0.5127 0.7704
Cl 0.4873 0.2577 0.7449
Cl 0.5127 0.7423 0.2551
Cl 0.7423 0.4873 0.2296

# Pm2Sm6Pu

Crystalline Pm2Sm6Pu at its relaxed geometry (GGA-PBE, Alexandria).

Values from the calculation:
- energy of formation from the pure elements (eV/atom) = 0.18
- final energy (eV/cell) = -50.5
- density of states at the Fermi level (states/eV per cell) = 17.67

abc: 6.2539 6.2539 8.6585
angles: 102.68 102.68 68.54
Fractional coordinates of all 9 atoms:
Pm 0.2291 0.2291 0.4570
Pm 0.7709 0.7709 0.5430
Sm 0.2049 0.6930 0.2948
Sm 0.3070 0.7951 0.7052
Sm 0.3293 0.3293 0.9238
Sm 0.6707 0.6707 0.0762
Sm 0.6930 0.2049 0.2948
Sm 0.7951 0.3070 0.7052
Pu 0.0000 0.0000 0.0000

# TbNdSm4Ho2

Crystalline TbNdSm4Ho2 at its relaxed geometry (GGA-PBE, Alexandria).

Values from the calculation:
- energy of formation from the pure elements (eV/atom) = 0.01
- final energy (eV/cell) = -74.6
- density of states at the Fermi level (states/eV per cell) = 21.17

abc: 7.2073 7.2126 10.1470
angles: 89.94 90.00 89.93
Fractional coordinates of all 16 atoms:
Tb 0.0000 0.0000 0.0000
Tb 0.0000 0.5000 0.0000
Nd 0.0000 0.0000 0.5000
Nd 0.5000 0.0000 0.0000
Sm 0.2504 0.2515 0.2507
Sm 0.2502 0.2515 0.7494
Sm 0.2504 0.7486 0.2506
Sm 0.2503 0.7486 0.7494
Sm 0.7497 0.2514 0.2506
Sm 0.7496 0.2514 0.7494
Sm 0.7498 0.7485 0.2506
Sm 0.7496 0.7485 0.7493
Ho 0.0000 0.5000 0.5000
Ho 0.5000 0.0000 0.5000
Ho 0.5000 0.5000 0.0000
Ho 0.5000 0.5000 0.5000

# ZrHgW2

Crystalline ZrHgW2 at its relaxed geometry (GGA-PBE, Alexandria).

Values from the calculation:
- energy of formation from the pure elements (eV/atom) = 0.51
- final energy (eV/cell) = -32.7
- density of states at the Fermi level (states/eV per cell) = 3.76

abc: 2.8401 2.8401 9.5866
angles: 90.00 90.00 106.65
Fractional coordinates of all 4 atoms:
Zr 0.0000 0.0000 0.0000
Hg 0.0000 0.0000 0.5000
W 0.5000 0.5000 0.2492
W 0.5000 0.5000 0.7508

# TiCrPd4

Crystalline TiCrPd4 at its relaxed geometry (GGA-PBE, Alexandria).

Values from the calculation:
- energy of formation from the pure elements (eV/atom) = -0.35
- final energy (eV/cell) = -40.4
- density of states at the Fermi level (states/eV per cell) = 4.77

abc: 4.8668 4.8668 4.6811
angles: 97.00 97.00 122.38
Fractional coordinates of all 6 atoms:
Ti 0.0000 0.0000 0.0000
Cr 0.5000 0.5000 0.5000
Pd 0.1614 0.8386 0.5000
Pd 0.3390 0.6610 0.0000
Pd 0.6610 0.3390 0.0000
Pd 0.8386 0.1614 0.5000

# Ac3CdIn2Pd6

Crystalline Ac3CdIn2Pd6 at its relaxed geometry (GGA-PBE, Alexandria).

Values from the calculation:
- energy of formation from the pure elements (eV/atom) = -0.65
- final energy (eV/cell) = -57.6
- density of states at the Fermi level (states/eV per cell) = 4.55

abc: 5.9810 5.9810 9.1953
angles: 90.00 90.00 120.00
Fractional coordinates of all 12 atoms:
Ac 0.0000 0.0000 0.0000
Ac 0.3333 0.6667 0.6268
Ac 0.6667 0.3333 0.3732
Cd 0.0000 0.0000 0.5000
In 0.3333 0.6667 0.0204
In 0.6667 0.3333 0.9796
Pd 0.1756 0.3513 0.2764
Pd 0.1756 0.8244 0.2764
Pd 0.3513 0.1756 0.7236
Pd 0.6487 0.8244 0.2764
Pd 0.8244 0.1756 0.7236
Pd 0.8244 0.6487 0.7236

# CaPr3Y8

Crystalline CaPr3Y8 at its relaxed geometry (GGA-PBE, Alexandria).

Values from the calculation:
- energy of formation from the pure elements (eV/atom) = 0.64
- final energy (eV/cell) = -60.4
- density of states at the Fermi level (states/eV per cell) = 19.85

abc: 8.6214 8.6214 8.6214
angles: 118.64 118.64 92.38
Fractional coordinates of all 12 atoms:
Ca 0.0000 0.0000 0.0000
Pr 0.2500 0.7500 0.5000
Pr 0.5000 0.5000 0.0000
Pr 0.7500 0.2500 0.5000
Y 0.1377 0.1377 0.7284
Y 0.2255 0.6911 0.0000
Y 0.3089 0.3089 0.5343
Y 0.4092 0.4092 0.2716
Y 0.5908 0.8623 0.0000
Y 0.6911 0.2255 0.0000
Y 0.7745 0.7745 0.4657
Y 0.8623 0.5908 0.0000

# Cs2RbCuHg

Crystalline Cs2RbCuHg at its relaxed geometry (GGA-PBE, Alexandria).

Values from the calculation:
- energy of formation from the pure elements (eV/atom) = 0.12
- excess energy over the best structure of this formula in the dataset (kcal/mol of atoms) = 0.00
- final energy (eV/cell) = -6.5
- density of states at the Fermi level (states/eV per cell) = 3.63

abc: 7.1568 7.1568 5.3726
angles: 90.00 90.00 90.00
Fractional coordinates of all 5 atoms:
Cs 0.0000 0.5000 0.0000
Cs 0.5000 0.0000 0.0000
Rb 0.0000 0.0000 0.5000
Cu 0.5000 0.5000 0.0000
Hg 0.5000 0.5000 0.5000

# BiPClO4

Crystalline BiPClO4 at its relaxed geometry (GGA-PBE, Alexandria).

Values from the calculation:
- energy relative to the elements, uncorrected (eV/atom) = -1.48
- final energy (eV/cell) = -82.7
- density of states at the Fermi level (states/eV per cell) = 11.49

abc: 6.1327 6.1327 6.5800
angles: 101.57 101.57 70.94
Fractional coordinates of all 14 atoms:
Bi 0.2416 0.2416 0.1462
Bi 0.7584 0.7584 0.8538
P 0.3617 0.3617 0.7352
P 0.6383 0.6383 0.2648
Cl 0.0171 0.0171 0.7571
Cl 0.9829 0.9829 0.2429
O 0.1477 0.4901 0.8561
O 0.2779 0.2779 0.5057
O 0.4841 0.4841 0.2562
O 0.4901 0.1477 0.8561
O 0.5099 0.8523 0.1439
O 0.5159 0.5159 0.7438
O 0.7221 0.7221 0.4943
O 0.8523 0.5099 0.1439

# Pr5Y6Tm2

Crystalline Pr5Y6Tm2 at its relaxed geometry (GGA-PBE, Alexandria).

Values from the calculation:
- energy of formation from the pure elements (eV/atom) = 0.09
- final energy (eV/cell) = -140.8
- density of states at the Fermi level (states/eV per cell) = 33.22

abc: 11.7373 20.7346 3.6222
angles: 90.00 90.00 90.00
Fractional coordinates of all 26 atoms:
Pr 0.0000 0.0000 0.0000
Pr 0.0838 0.2718 0.0000
Pr 0.1990 0.5505 0.0000
Pr 0.3010 0.0505 0.0000
Pr 0.4162 0.7718 0.0000
Pr 0.5000 0.5000 0.0000
Pr 0.5838 0.2282 0.0000
Pr 0.6990 0.9495 0.0000
Pr 0.8010 0.4495 0.0000
Pr 0.9162 0.7282 0.0000
Y 0.0611 0.4182 0.5000
Y 0.0820 0.1313 0.5000
Y 0.1748 0.8603 0.0000
Y 0.3252 0.3603 0.0000
Y 0.4180 0.6313 0.5000
Y 0.4389 0.9182 0.5000
Y 0.5611 0.0818 0.5000
Y 0.5820 0.3687 0.5000
Y 0.6748 0.6397 0.0000
Y 0.8252 0.1397 0.0000
Y 0.9180 0.8687 0.5000
Y 0.9389 0.5818 0.5000
Tm 0.1699 0.7098 0.5000
Tm 0.3301 0.2098 0.5000
Tm 0.6699 0.7902 0.5000
Tm 0.8301 0.2902 0.5000

# Ta2CrPt

Crystalline Ta2CrPt at its relaxed geometry (GGA-PBE, Alexandria).

Values from the calculation:
- energy of formation from the pure elements (eV/atom) = -0.21
- final energy (eV/cell) = -40.2
- density of states at the Fermi level (states/eV per cell) = 3.31

abc: 4.9788 4.9788 4.9788
angles: 132.96 132.96 68.72
Fractional coordinates of all 4 atoms:
Ta 0.2500 0.7500 0.5000
Ta 0.7500 0.2500 0.5000
Cr 0.0000 0.0000 0.0000
Pt 0.5000 0.5000 0.0000

# KInRe

Crystalline KInRe at its relaxed geometry (GGA-PBE, Alexandria).

Values from the calculation:
- energy of formation from the pure elements (eV/atom) = 0.94
- excess energy over the best structure of this formula in the dataset (kcal/mol of atoms) = 0.86
- final energy (eV/cell) = -13.5
- density of states at the Fermi level (states/eV per cell) = 2.29

abc: 2.9855 2.9855 8.4094
angles: 90.00 90.00 120.00
Fractional coordinates of all 3 atoms:
K 0.0000 0.0000 0.0000
In 0.3333 0.6667 0.6298
Re 0.6667 0.3333 0.3460

# Ta3B

Crystalline Ta3B at its relaxed geometry (GGA-PBE, Alexandria).

Values from the calculation:
- energy of formation from the pure elements (eV/atom) = -0.01
- final energy (eV/cell) = -42.3
- density of states at the Fermi level (states/eV per cell) = 3.67

abc: 4.9502 4.9502 4.9502
angles: 143.65 75.58 116.33
Fractional coordinates of all 4 atoms:
Ta 0.0000 0.0000 0.0000
Ta 0.3419 0.5298 0.8121
Ta 0.7176 0.5298 0.1879
B 0.3174 0.8174 0.5000